Below is crystalline LiAgBr3 at its relaxed geometry, with properties calculated at the GGA-PBE level.

Output
Formation energy (no corrections): -0.507 eV/atom
DFT total energy: -2.46 eV/atom
Space-group type: Pm-3m
Mass density: 3.842 Mg/m³
DOS at the Fermi energy: 0.290 states/eV/atom

Unit cell a=5.3509 b=5.3509 c=5.3509 alpha=90.00 beta=90.00 gamma=90.00
Closest atoms and distances in Å follow each position.
Atoms (fractional coordinates):
Br: 0.5000 0.0000 0.0000  2 Ag 2.68
Br: 0.0000 0.0000 0.5000  2 Ag 2.68
Br: 0.0000 0.5000 0.0000  2 Ag 2.68
Ag: 0.0000 0.0000 0.0000  6 Br 2.68
Li: 0.5000 0.5000 0.5000  12 Br 3.78



Below is crystalline Mg3GeSb at its relaxed geometry, with properties calculated at the GGA-PBE level.

Output
Formation energy (no corrections): 0.516 eV/atom
DFT total energy: -2.19 eV/atom
Space-group type: Pm-3m
Mass density: 2.962 Mg/m³
DOS at the Fermi energy: 1.181 states/eV/atom

Unit cell a=5.3115 b=5.3115 c=5.3115 alpha=90.00 beta=90.00 gamma=90.00
Closest atoms and distances in Å follow each position.
Atoms (fractional coordinates):
Sb: 0.0000 0.0000 0.0000  6 Mg 2.66
Mg: 0.0000 0.5000 0.0000  2 Sb 2.66
Mg: 0.5000 0.0000 0.0000  2 Sb 2.66
Mg: 0.0000 0.0000 0.5000  2 Sb 2.66
Ge: 0.5000 0.5000 0.5000  12 Mg 3.76



Below is crystalline LiHg4 at its relaxed geometry, with properties calculated at the GGA-PBE level.

Output
DFT formation energy: -11 kJ/mol of atoms
DFT total energy: -0.74 eV/atom
Space-group type: P4/nbm
Mass density: 10.614 Mg/m³
DOS at the Fermi energy: 0.334 states/eV/atom

Unit cell a=6.3571 b=6.3113 c=6.3113 alpha=90.00 beta=90.00 gamma=90.00
Closest atoms and distances in Å follow each position.
Atoms (fractional coordinates):
Li: 0.0000 0.5000 0.5000  8 Hg 2.87
Li: 0.0000 0.0000 0.0000  8 Hg 2.87
Hg: 0.2693 0.8114 0.3114  2 Li 2.87, 1 Hg 3.13
Hg: 0.2693 0.3114 0.1886  2 Li 2.87, 1 Hg 3.13
Hg: 0.7307 0.6886 0.1886  2 Li 2.87, 1 Hg 3.13
Hg: 0.2693 0.1886 0.6886  2 Li 2.87, 1 Hg 3.13
Hg: 0.7307 0.8114 0.6886  2 Li 2.87, 1 Hg 3.13
Hg: 0.7307 0.3114 0.8114  2 Li 2.87, 1 Hg 3.13
Hg: 0.7307 0.1886 0.3114  2 Li 2.87, 1 Hg 3.13
Hg: 0.2693 0.6886 0.8114  2 Li 2.87, 1 Hg 3.13



Below is crystalline TiFeB2I at its relaxed geometry, with properties calculated at the GGA-PBE level.

Output
Formation energy (no corrections): 2.447 eV/atom
DFT total energy: -3.81 eV/atom
Space-group type: P4/mmm
Mass density: 4.451 Mg/m³
DOS at the Fermi energy: 1.181 states/eV/atom

Unit cell a=4.3000 b=5.0899 c=4.3000 alpha=90.00 beta=90.00 gamma=90.00
Closest atoms and distances in Å follow each position.
Atoms (fractional coordinates):
I: 0.0000 0.0000 0.0000  4 B 2.15
Ti: 0.0000 0.5000 0.0000  2 I 2.54
B: 0.5000 0.0000 0.0000  2 I 2.15
B: 0.0000 0.0000 0.5000  2 I 2.15
Fe: 0.5000 0.5000 0.5000  4 Ti 3.04, 8 B 3.33



Below is crystalline CrTc4Ag at its relaxed geometry, with properties calculated at the GGA-PBE level.

Output
DFT formation energy: 49 kJ/mol of atoms
DFT total energy: -8.48 eV/atom
Space-group type: F-43m
Mass density: 9.660 Mg/m³
DOS at the Fermi energy: 0.858 states/eV/atom

Unit cell a=5.1192 b=5.1192 c=5.1192 alpha=60.00 beta=60.00 gamma=60.00
Closest atoms and distances in Å follow each position.
Atoms (fractional coordinates):
Ag: 0.7500 0.7500 0.7500  12 Tc 3.00, 4 Cr 3.13
Tc: 0.3756 0.3756 0.8732  6 Tc 2.55-2.57
Tc: 0.3756 0.3756 0.3756  6 Tc 2.55-2.57
Tc: 0.3756 0.8732 0.3756  6 Tc 2.55-2.57
Tc: 0.8732 0.3756 0.3756  6 Tc 2.55-2.57
Cr: 0.0000 0.0000 0.0000  12 Tc 3.00, 4 Ag 3.13



Below is crystalline AsPdPtBr2 at its relaxed geometry, with properties calculated at the GGA-PBE level.

Output
Formation energy (no corrections): 0.540 eV/atom
DFT total energy: -3.31 eV/atom
Space-group type: P4/mmm
Mass density: 6.764 Mg/m³
DOS at the Fermi energy: 1.511 states/eV/atom

Unit cell a=5.2814 b=5.2814 c=4.7197 alpha=90.00 beta=90.00 gamma=90.00
Closest atoms and distances in Å follow each position.
Atoms (fractional coordinates):
Br: 0.5000 0.0000 0.0000  2 Pt 2.64
Br: 0.0000 0.5000 0.0000  2 Pt 2.64
Pt: 0.0000 0.0000 0.0000  2 As 2.36, 4 Br 2.64
As: 0.0000 0.0000 0.5000  2 Pt 2.36
Pd: 0.5000 0.5000 0.5000  8 Br 3.54, 4 As 3.73



Below is crystalline ReMo2H2 at its relaxed geometry, with properties calculated at the GGA-PBE level.

Output
DFT total energy: -8.11 eV/atom
Space-group type: I4/mmm
Mass density: 12.036 Mg/m³
DOS at the Fermi energy: 0.772 states/eV/atom

Unit cell a=2.9218 b=2.9218 c=6.4813 alpha=76.97 beta=76.97 gamma=90.00
Closest atoms and distances in Å follow each position.
Atoms (fractional coordinates):
Re: 0.0000 0.0000 0.0000  8 Mo 2.74, 4 Re 2.92
Mo: 0.3538 0.3538 0.2923  4 H 1.94
Mo: 0.6462 0.6462 0.7077  4 H 1.94
H: 0.7500 0.2500 0.5000  4 Mo 1.94, 4 H 2.07
H: 0.2500 0.7500 0.5000  4 Mo 1.94, 4 H 2.07



Below is crystalline LuVRu2 at its relaxed geometry, with properties calculated at the GGA-PBE level.

Output
DFT formation energy: -27 kJ/mol of atoms
DFT total energy: -8.32 eV/atom
Space-group type: P4/mmm
Mass density: 11.179 Mg/m³
DOS at the Fermi energy: 0.497 states/eV/atom

Unit cell a=3.1630 b=4.4834 c=4.4834 alpha=90.00 beta=90.00 gamma=90.00
Closest atoms and distances in Å follow each position.
Atoms (fractional coordinates):
Ru: 0.0000 0.5000 0.0000  4 Lu 2.74, 4 V 2.74
Ru: 0.0000 0.0000 0.5000  4 Lu 2.74, 4 V 2.74
Lu: 0.5000 0.5000 0.5000  8 Ru 2.74
V: 0.5000 0.0000 0.0000  8 Ru 2.74



Below is crystalline MgCo3Br at its relaxed geometry, with properties calculated at the GGA-PBE level.

Output
Formation energy (no corrections): 1.525 eV/atom
DFT total energy: -3.39 eV/atom
Space-group type: Pm-3m
Mass density: 4.850 Mg/m³
DOS at the Fermi energy: 1.841 states/eV/atom

Unit cell a=4.5823 b=4.5823 c=4.5823 alpha=90.00 beta=90.00 gamma=90.00
Closest atoms and distances in Å follow each position.
Atoms (fractional coordinates):
Co: 0.0000 0.5000 0.0000  2 Mg 2.29
Co: 0.5000 0.0000 0.0000  2 Mg 2.29
Co: 0.0000 0.0000 0.5000  2 Mg 2.29
Mg: 0.0000 0.0000 0.0000  6 Co 2.29
Br: 0.5000 0.5000 0.5000  12 Co 3.24



Below is crystalline BaZrIr2O8 at its relaxed geometry, with properties calculated at the GGA-PBE level.

Output
Formation energy (no corrections): -1.359 eV/atom
DFT total energy: -7.01 eV/atom
Space-group type: P-3
Mass density: 5.660 Mg/m³
DOS at the Fermi energy: 0.039 states/eV/atom

Unit cell a=5.7730 b=5.7730 c=7.5316 alpha=90.00 beta=90.00 gamma=120.00
Closest atoms and distances in Å follow each position.
Atoms (fractional coordinates):
O: 0.2176 0.9037 0.6805  1 Ir 1.89, 1 Zr 2.11
O: 0.6861 0.7824 0.6805  1 Ir 1.89, 1 Zr 2.11
O: 0.7824 0.0963 0.3195  1 Ir 1.89, 1 Zr 2.11
O: 0.3139 0.2176 0.3195  1 Ir 1.89, 1 Zr 2.11
O: 0.9037 0.6861 0.3195  1 Ir 1.89, 1 Zr 2.11
O: 0.0963 0.3139 0.6805  1 Ir 1.89, 1 Zr 2.11
O: 0.6667 0.3333 0.0025  1 Ir 1.82
O: 0.3333 0.6667 0.9975  1 Ir 1.82
Ir: 0.6667 0.3333 0.2444  4 O 1.82-1.89
Ir: 0.3333 0.6667 0.7556  4 O 1.82-1.89
Zr: 0.0000 0.0000 0.5000  6 O 2.11
Ba: 0.0000 0.0000 0.0000  6 O 2.89